# 1
# YTa2Co

A relaxed structure of YTa2Co (PBE-GGA, the Alexandria database).

Summary:
Energy above the most stable polymorph in this dataset   278 meV/atom
VASP energy   -8.971 eV/atom
Mass density   11.518 g cm⁻³

a = 4.7039 Å, b = 4.7039 Å, c = 6.6428 Å
α = 90.00°, β = 90.00°, γ = 90.00°
Closest atoms and distances in Å follow each position.
Space group I-4m2 (No. 119)
Symmetry-distinct sites (fractional):
Y1 0.0000 0.0000 0.0000 (multiplicity 2)  4 Ta 2.88, 4 Co 2.88
Ta1 0.0000 0.0000 0.5000 (multiplicity 2)  4 Ta 2.88, 4 Co 2.88
Ta2 0.0000 0.5000 0.7500 (multiplicity 2)  4 Ta 2.88, 4 Y 2.88
Co1 0.0000 0.5000 0.2500 (multiplicity 2)  4 Y 2.88, 4 Ta 2.88

=====

# 2
# Y2TaCo

A relaxed structure of Y2TaCo (PBE-GGA, the Alexandria database).

Summary:
Energy above the most stable polymorph in this dataset   43 meV/atom
VASP energy   -7.886 eV/atom
Mass density   7.812 g cm⁻³

a = 3.3860 Å, b = 5.0398 Å, c = 10.4060 Å
α = 90.00°, β = 90.00°, γ = 90.00°
Closest atoms and distances in Å follow each position.
Space group Imm2 (No. 44)
Symmetry-distinct sites (fractional):
Y1 0.0000 0.0000 0.0000 (multiplicity 2)  2 Co 3.02, 4 Ta 3.20, 2 Y 3.32
Y2 0.0000 0.5000 0.2083 (multiplicity 2)  4 Co 3.05, 2 Ta 3.24, 4 Y 3.32-3.39
Ta1 0.0000 0.0000 0.4040 (multiplicity 2)  2 Co 2.40
Co1 0.0000 0.5000 0.7404 (multiplicity 2)  2 Ta 2.40

=====

# 3
# Y2TaCo

A relaxed structure of Y2TaCo (PBE-GGA, the Alexandria database).

Summary:
Energy above the most stable polymorph in this dataset   488 meV/atom
VASP energy   -7.441 eV/atom
Mass density   8.102 g cm⁻³

a = 4.0932 Å, b = 4.0932 Å, c = 10.2190 Å
α = 90.00°, β = 90.00°, γ = 90.00°
Closest atoms and distances in Å follow each position.
Space group I-4m2 (No. 119)
Symmetry-distinct sites (fractional):
Y1 0.0000 0.0000 0.0000 (multiplicity 2)  4 Ta 2.89
Y2 0.0000 0.5000 0.2500 (multiplicity 2)  4 Co 2.89
Ta1 0.0000 0.0000 0.5000 (multiplicity 2)  4 Y 2.89
Co1 0.0000 0.5000 0.7500 (multiplicity 2)  4 Y 2.89

=====

# 4
# YTa2Co2

A relaxed structure of YTa2Co2 (PBE-GGA, the Alexandria database).

Summary:
Energy above the most stable polymorph in this dataset   264 meV/atom
VASP energy   -8.774 eV/atom
Mass density   11.341 g cm⁻³

a = 7.7151 Å, b = 7.7151 Å, c = 2.7978 Å
α = 90.00°, β = 90.00°, γ = 90.00°
Closest atoms and distances in Å follow each position.
Space group P4/mbm (No. 127)
Symmetry-distinct sites (fractional):
Y1 0.0000 0.0000 0.0000 (multiplicity 2)  2 Y 2.80, 4 Ta 2.97
Ta1 0.1431 0.3569 0.0000 (multiplicity 4)  6 Co 2.64-2.69, 2 Ta 2.80
Co1 0.1466 0.6466 0.5000 (multiplicity 4)  6 Ta 2.64-2.69, 2 Co 2.80

=====

# 5
# YTa2Co

A relaxed structure of YTa2Co (PBE-GGA, the Alexandria database).

Summary:
Energy above the most stable polymorph in this dataset   924 meV/atom
VASP energy   -8.326 eV/atom
Mass density   8.852 g cm⁻³

a = 4.7356 Å, b = 4.7356 Å, c = 17.0554 Å
α = 90.00°, β = 90.00°, γ = 90.00°
Closest atoms and distances in Å follow each position.
Space group I-42d (No. 122)
Symmetry-distinct sites (fractional):
Y1 0.0000 0.0000 0.0000 (multiplicity 4)  4 Ta 3.14, 4 Co 3.35
Ta1 0.0836 0.2500 0.6250 (multiplicity 8)  2 Co 2.47, 2 Ta 2.50
Co1 0.0000 0.0000 0.5000 (multiplicity 4)  4 Ta 2.47

=====

# 6
# TaZnCo

A relaxed structure of TaZnCo (PBE-GGA, the Alexandria database).

Summary:
Energy above the most stable polymorph in this dataset   351 meV/atom
VASP energy   -6.565 eV/atom
Mass density   10.621 g cm⁻³

a = 5.7582 Å, b = 5.7582 Å, c = 5.7582 Å
α = 90.00°, β = 90.00°, γ = 90.00°
Closest atoms and distances in Å follow each position.
Space group F-43m (No. 216)
Symmetry-distinct sites (fractional):
Ta1 0.0000 0.0000 0.0000 (multiplicity 4)  4 Co 2.49
Zn1 0.0000 0.0000 0.5000 (multiplicity 4)  4 Co 2.49
Co1 0.2500 0.2500 0.7500 (multiplicity 4)  4 Ta 2.49, 4 Zn 2.49

=====

# 7
# TaZnCo2

A relaxed structure of TaZnCo2 (PBE-GGA, the Alexandria database).

Summary:
VASP energy   -6.810 eV/atom
Mass density   11.458 g cm⁻³

a = 2.7105 Å, b = 3.8428 Å, c = 5.0678 Å
α = 90.00°, β = 90.39°, γ = 90.00°
Closest atoms and distances in Å follow each position.
Space group Pm (No. 6)
Symmetry-distinct sites (fractional):
Ta1 0.0000 0.0000 0.0000 (multiplicity 1)  6 Co 2.53-2.61, 2 Ta 2.71, 4 Zn 2.81
Zn1 0.5030 0.5000 0.3031 (multiplicity 1)  6 Co 2.41-2.66
Co1 0.0035 0.0000 0.4996 (multiplicity 1)  2 Ta 2.53-2.54, 4 Zn 2.55-2.56, 6 Co 2.71-2.75
Co2 0.5001 0.5000 0.7791 (multiplicity 1)  2 Zn 2.41-2.66, 4 Ta 2.60-2.61

=====

# 8
# TaZn2Co2

A relaxed structure of TaZn2Co2 (PBE-GGA, the Alexandria database).

Summary:
Energy above the most stable polymorph in this dataset   21 meV/atom
VASP energy   -5.660 eV/atom
Mass density   10.684 g cm⁻³

a = 6.7591 Å, b = 6.7591 Å, c = 2.9231 Å
α = 90.00°, β = 90.00°, γ = 90.00°
Closest atoms and distances in Å follow each position.
Space group P4/mbm (No. 127)
Symmetry-distinct sites (fractional):
Ta1 0.0000 0.0000 0.0000 (multiplicity 2)  4 Co 2.62, 2 Ta 2.92
Zn1 0.1583 0.3417 0.5000 (multiplicity 4)  6 Co 2.44-2.48
Co1 0.1379 0.6379 0.0000 (multiplicity 4)  6 Zn 2.44-2.48, 2 Ta 2.62, 1 Co 2.64